# ScTcF (PBE-GGA, relaxed)
data_ScTcF
_cell_length_a 3.013
_cell_length_b 4.529
_cell_length_c 7.780
_cell_angle_alpha 81.36
_cell_angle_beta 89.95
_cell_angle_gamma 89.83
_space_group_name_H-M_alt 'P 1'
_space_group_IT_number 1
loop_
_space_group_symop_operation_xyz
'x,y,z'
loop_
_atom_site_label
_atom_site_type_symbol
_atom_site_fract_x
_atom_site_fract_y
_atom_site_fract_z
_atom_site_occupancy
Sc1 Sc 0.000 0.000 0.000 1
Sc2 Sc 0.000 0.089 0.594 1
Tc1 Tc 0.499 0.471 0.123 1
Tc2 Tc 0.501 0.530 0.837 1
F1 F 0.499 0.326 0.448 1
F2 F 0.502 0.803 0.548 1
# Energy relative to the elements, uncorrected (eV/atom): -1.29
# Density (g/cm³): 5.12
# D(E_F) (states/eV per cell): 2.28
# Space group: P1
# Magnetization (μB/cell): 0.0